# 1
Density functional theory data (GGA-PBEsol) for a relaxed CrAgTe2 crystal.

The structure in extended XYZ format:
```
4
Lattice="3.914 0.000 0.000 -1.957 3.385 -0.064 0.000 -2.141 6.911" Properties=species:S:1:pos:R:3 pbc="T T T"
Cr 1.957 0.000 0.000
Te 1.957 0.087 5.330
Te 0.000 1.157 1.517
Ag 0.000 -1.070 3.456
```

Calculated values
Its space group is C2/m (12). The raw total energy is -20.64 eV/f.u. The value obtained for the calculated volume is 91.0 Å³/cell. As for the crystal system: monoclinic. The energy relative to the elements, uncorrected comes out at -0.009 eV/atom.

=====

# 2
Density functional theory data (GGA-PBEsol) for a relaxed Cd3Mo crystal.

The structure in extended XYZ format:
```
4
Lattice="-0.460 -0.235 -2.802 2.758 -0.589 -0.404 -1.744 -8.871 1.029" Properties=species:S:1:pos:R:3 pbc="T T T"
Cd -1.284 -6.534 0.758
Cd -0.459 -2.337 0.271
Cd 1.149 -0.412 -1.603
Mo 0.277 -4.847 -1.088
```

Calculated values
Its space group is P4/mmm (123). The raw total energy is -14.17 eV/f.u. The value obtained for the calculated volume is 73.9 Å³/cell. As for the crystal system: tetragonal. The energy above the most stable polymorph in this dataset comes out at 0.000 eV/f.u.

=====

# 3
Density functional theory data (GGA-PBEsol) for a relaxed NiPSeO2 crystal.

The structure in extended XYZ format:
```
5
Lattice="3.552 0.000 0.000 0.000 3.552 0.000 0.000 0.000 5.277" Properties=species:S:1:pos:R:3 pbc="T T T"
Ni 0.000 0.000 0.000
O 0.000 1.776 0.000
O 1.776 0.000 0.000
Se 1.776 1.776 2.638
P 0.000 0.000 2.638
```

Calculated values
Its space group is P4/mmm (123). The raw total energy is -26.08 eV/f.u. The value obtained for the calculated volume is 66.6 Å³/cell. As for the crystal system: tetragonal. The energy above the most stable polymorph in this dataset comes out at 0.000 eV/f.u. The energy relative to the elements, uncorrected comes out at 0.043 eV/atom.

=====

# 4
Density functional theory data (GGA-PBEsol) for a relaxed Al2RuAu crystal.

The structure in extended XYZ format:
```
4
Lattice="3.109 0.000 0.000 0.000 4.239 -0.017 -1.555 -1.323 4.421" Properties=species:S:1:pos:R:3 pbc="T T T"
Ru 0.000 2.776 2.280
Au 0.000 0.574 4.393
Al 1.555 2.680 4.322
Al 1.555 0.599 2.225
```

Calculated values
Its space group is Cm (8). The raw total energy is -24.26 eV/f.u. The value obtained for the calculated volume is 58.2 Å³/cell. As for the crystal system: monoclinic.

=====

Among the records above, which one has the lowest calculated volume? Al2RuAu